This record from Alexandria via LeMat-Bulk describes an optimized crystal structure of Nb2CuS. The functional is GGA-PBE.

Lattice parameters (Å, degrees): 6.8945 6.8945 6.8945 133.46 133.46 67.93
With the nearest neighbours (Å) after each atom.
Positions (direct):
Nb  0.1203  0.6250  0.9953  2 S 2.38, 2 Cu 2.41
Nb  0.3750  0.3703  0.4953  2 S 2.38, 2 Cu 2.41
Nb  0.6297  0.1250  0.0047  2 S 2.38, 2 Cu 2.41
Nb  0.8750  0.8797  0.5047  2 S 2.38, 2 Cu 2.41
Cu  0.2500  0.7500  0.5000  4 Nb 2.41
Cu  0.5000  0.5000  0.0000  4 Nb 2.41
S  0.0000  0.0000  0.0000  4 Nb 2.38
S  0.7500  0.2500  0.5000  4 Nb 2.38

Output
- Calculated total energy: -0.2413 hartree per atom
- Density: 5508 kg/m³
- Raw formation energy: 0.526 eV per atom
- Crystal system: tetragonal
- Total magnetization: 0.0 μB per formula unit


This record from Alexandria via LeMat-Bulk describes an optimized crystal structure of Li2TaAs. The functional is GGA-PBE.

Lattice parameters (Å, degrees): 2.7440 2.7440 9.2114 90.00 90.00 105.92
With the nearest neighbours (Å) after each atom.
Positions (direct):
Li  0.0000  0.0000  0.2214  2 As 2.62, 4 Li 2.74
Li  0.0000  0.0000  0.7786  2 As 2.62, 4 Li 2.74
Ta  0.5000  0.5000  0.5000  4 Ta 2.74, 4 Li 3.05
As  0.5000  0.5000  0.0000  4 Li 2.62, 4 As 2.74

Output
- Calculated total energy: -0.1855 hartree per atom
- Density: 6716 kg/m³
- Calculated formation energy: 36 meV/atom
- Crystal system: orthorhombic
- Total magnetization: 0.0 μB per formula unit


This record from Alexandria via LeMat-Bulk describes an optimized crystal structure of TlAgPb2. The functional is GGA-PBE.

Lattice parameters (Å, degrees): 5.3829 5.3829 5.3829 60.00 60.00 60.00
With the nearest neighbours (Å) after each atom.
Positions (direct):
Tl  0.0000  0.0000  0.0000  8 Pb 3.30
Ag  0.5000  0.5000  0.5000  8 Pb 3.30
Pb  0.2500  0.2500  0.2500  4 Ag 3.30, 4 Tl 3.30
Pb  0.7500  0.7500  0.7500  4 Ag 3.30, 4 Tl 3.30

Output
- Calculated total energy: -0.1113 hartree per atom
- Density: 10941 kg/m³
- Calculated formation energy: 130 meV/atom
- Crystal system: cubic
- Total magnetization: 0.0 μB per formula unit
- Energy relative to the lowest polymorph listed for this composition: 107 meV/atom


This record from Alexandria via LeMat-Bulk describes an optimized crystal structure of Sr4Si23. The functional is GGA-PBE.

Lattice parameters (Å, degrees): 10.2958 10.2958 10.2958 90.00 90.00 90.00
With the nearest neighbours (Å) after each atom.
Positions (direct):
Sr  0.0000  0.0000  0.0000  20 Si 3.29-3.39
Sr  0.0000  0.2500  0.5000  20 Si 3.48-3.82
Sr  0.0000  0.7500  0.5000  20 Si 3.48-3.82
Sr  0.2500  0.5000  0.0000  20 Si 3.48-3.82
Sr  0.5000  0.0000  0.2500  20 Si 3.48-3.82
Sr  0.5000  0.0000  0.7500  20 Si 3.48-3.82
Sr  0.5000  0.5000  0.5000  20 Si 3.29-3.39
Sr  0.7500  0.5000  0.0000  20 Si 3.48-3.82
Si  0.0000  0.3070  0.1190  4 Si 2.38-2.45
Si  0.0000  0.3070  0.8810  4 Si 2.38-2.45
Si  0.0000  0.5000  0.2500  4 Si 2.40
Si  0.0000  0.5000  0.7500  4 Si 2.40
Si  0.0000  0.6930  0.1190  4 Si 2.38-2.45
Si  0.0000  0.6930  0.8810  4 Si 2.38-2.45
Si  0.1190  0.0000  0.3070  4 Si 2.38-2.45
Si  0.1190  0.0000  0.6930  4 Si 2.38-2.45
Si  0.1846  0.1846  0.1846  4 Si 2.33-2.38
Si  0.1846  0.1846  0.8154  4 Si 2.33-2.38
Si  0.1846  0.8154  0.1846  4 Si 2.33-2.38
Si  0.1846  0.8154  0.8154  4 Si 2.33-2.38
Si  0.1930  0.5000  0.3810  4 Si 2.38-2.45
Si  0.1930  0.5000  0.6190  4 Si 2.38-2.45
Si  0.2500  0.0000  0.5000  4 Si 2.40
Si  0.3070  0.1190  0.0000  4 Si 2.38-2.45
Si  0.3070  0.8810  0.0000  4 Si 2.38-2.45
Si  0.3154  0.3154  0.3154  4 Si 2.33-2.38
Si  0.3154  0.3154  0.6846  4 Si 2.33-2.38
Si  0.3154  0.6846  0.3154  4 Si 2.33-2.38
Si  0.3154  0.6846  0.6846  4 Si 2.33-2.38
Si  0.3810  0.1930  0.5000  4 Si 2.38-2.45
Si  0.3810  0.8070  0.5000  4 Si 2.38-2.45
Si  0.5000  0.2500  0.0000  4 Si 2.40
Si  0.5000  0.3810  0.1930  4 Si 2.38-2.45
Si  0.5000  0.3810  0.8070  4 Si 2.38-2.45
Si  0.5000  0.6190  0.1930  4 Si 2.38-2.45
Si  0.5000  0.6190  0.8070  4 Si 2.38-2.45
Si  0.5000  0.7500  0.0000  4 Si 2.40
Si  0.6190  0.1930  0.5000  4 Si 2.38-2.45
Si  0.6190  0.8070  0.5000  4 Si 2.38-2.45
Si  0.6846  0.3154  0.3154  4 Si 2.33-2.38
Si  0.6846  0.3154  0.6846  4 Si 2.33-2.38
Si  0.6846  0.6846  0.3154  4 Si 2.33-2.38
Si  0.6846  0.6846  0.6846  4 Si 2.33-2.38
Si  0.6930  0.1190  0.0000  4 Si 2.38-2.45
Si  0.6930  0.8810  0.0000  4 Si 2.38-2.45
Si  0.7500  0.0000  0.5000  4 Si 2.40
Si  0.8070  0.5000  0.3810  4 Si 2.38-2.45
Si  0.8070  0.5000  0.6190  4 Si 2.38-2.45
Si  0.8154  0.1846  0.1846  4 Si 2.33-2.38
Si  0.8154  0.1846  0.8154  4 Si 2.33-2.38
Si  0.8154  0.8154  0.1846  4 Si 2.33-2.38
Si  0.8154  0.8154  0.8154  4 Si 2.33-2.38
Si  0.8810  0.0000  0.3070  4 Si 2.38-2.45
Si  0.8810  0.0000  0.6930  4 Si 2.38-2.45

Output
- Calculated total energy: -0.1825 hartree per atom
- Density: 3032 kg/m³
- Raw formation energy: -0.098 eV per atom
- Crystal system: cubic
- Total magnetization: 0.0 μB per formula unit


This record from Alexandria via LeMat-Bulk describes an optimized crystal structure of CdCo2Si. The functional is GGA-PBE.

Lattice parameters (Å, degrees): 5.1569 5.1569 5.1569 147.28 132.75 58.66
With the nearest neighbours (Å) after each atom.
Positions (direct):
Cd  0.0000  0.0000  0.0000  4 Co 2.55, 2 Si 2.79
Co  0.2796  0.7796  0.5000  4 Si 2.56, 2 Co 2.76, 2 Cd 2.86
Co  0.5408  0.5408  0.0000  2 Si 2.27
Si  0.7348  0.2348  0.5000  2 Co 2.27

Output
- Calculated total energy: -0.1830 hartree per atom
- Density: 7946 kg/m³
- Raw formation energy: 0.159 eV per atom
- Crystal system: orthorhombic
- Total magnetization: 1.6 μB per formula unit
- Energy relative to the lowest polymorph listed for this composition: 369 meV/atom


This record from Alexandria via LeMat-Bulk describes an optimized crystal structure of ScTlIO6. The functional is GGA-PBE.

Lattice parameters (Å, degrees): 5.4485 5.4485 10.2892 90.00 90.00 120.00
With the nearest neighbours (Å) after each atom.
Positions (direct):
Sc  0.3333  0.6667  0.2500  6 O 2.13
Sc  0.6667  0.3333  0.7500  6 O 2.13
Tl  0.0000  0.0000  0.0000  6 O 2.54
Tl  0.0000  0.0000  0.5000  6 O 2.54
I  0.3333  0.6667  0.7500  6 O 1.92
I  0.6667  0.3333  0.2500  6 O 1.92
O  0.0289  0.3898  0.6456  1 I 1.92, 1 Sc 2.13
O  0.0289  0.6391  0.8544  1 I 1.92, 1 Sc 2.13
O  0.3609  0.3898  0.8544  1 I 1.92, 1 Sc 2.13
O  0.3609  0.9711  0.6456  1 I 1.92, 1 Sc 2.13
O  0.3898  0.0289  0.1456  1 I 1.92, 1 Sc 2.13
O  0.3898  0.3609  0.3544  1 I 1.92, 1 Sc 2.13
O  0.6102  0.6391  0.6456  1 I 1.92, 1 Sc 2.13
O  0.6102  0.9711  0.8544  1 I 1.92, 1 Sc 2.13
O  0.6391  0.0289  0.3544  1 I 1.92, 1 Sc 2.13
O  0.6391  0.6102  0.1456  1 I 1.92, 1 Sc 2.13
O  0.9711  0.3609  0.1456  1 I 1.92, 1 Sc 2.13
O  0.9711  0.6102  0.3544  1 I 1.92, 1 Sc 2.13

Output
- Calculated total energy: -0.2088 hartree per atom
- Density: 5929 kg/m³
- Raw formation energy: -1.237 eV per atom
- Crystal system: trigonal
- Total magnetization: 0.0 μB per formula unit


This record from Alexandria via LeMat-Bulk describes an optimized crystal structure of W2AuBr. The functional is GGA-PBE.

Lattice parameters (Å, degrees): 5.0206 5.0206 7.8424 122.11 122.11 37.28
With the nearest neighbours (Å) after each atom.
Positions (direct):
W  0.2170  0.2170  0.3652  2 W 2.44
W  0.7830  0.7830  0.6348  2 W 2.44
Au  0.0000  0.0000  0.5000  6 W 2.78-2.80
Br  0.5000  0.5000  0.0000  4 W 2.90, 2 Br 3.21

Output
- Calculated total energy: -0.2579 hartree per atom
- Density: 10799 kg/m³
- Raw formation energy: 0.698 eV per atom
- Crystal system: monoclinic
- Total magnetization: 0.0 μB per formula unit
- Energy relative to the lowest polymorph listed for this composition: 147 meV/atom


This record from Alexandria via LeMat-Bulk describes an optimized crystal structure of MgFeRu. The functional is GGA-PBE.

Lattice parameters (Å, degrees): 5.2994 4.2055 7.9310 90.00 90.00 90.00
With the nearest neighbours (Å) after each atom.
Positions (direct):
Mg  0.1564  0.2500  0.0706  5 Ru 2.62-2.70, 5 Fe 2.81-2.88, 2 Mg 2.90
Mg  0.3436  0.7500  0.5706  5 Ru 2.62-2.70, 5 Fe 2.81-2.88, 2 Mg 2.90
Mg  0.6564  0.2500  0.4294  5 Ru 2.62-2.70, 5 Fe 2.81-2.88, 2 Mg 2.90
Mg  0.8436  0.7500  0.9294  5 Ru 2.62-2.70, 5 Fe 2.81-2.88, 2 Mg 2.90
Fe  0.0517  0.2500  0.7230  3 Ru 2.56-2.60, 2 Fe 2.68, 1 Mg 2.81
Fe  0.4483  0.7500  0.2230  3 Ru 2.56-2.60, 2 Fe 2.68, 1 Mg 2.81
Fe  0.5517  0.2500  0.7770  3 Ru 2.56-2.60, 2 Fe 2.68, 1 Mg 2.81
Fe  0.9483  0.7500  0.2770  3 Ru 2.56-2.60, 2 Fe 2.68, 1 Mg 2.81
Ru  0.1508  0.2500  0.4015  3 Fe 2.56-2.60, 5 Mg 2.62-2.70
Ru  0.3492  0.7500  0.9015  3 Fe 2.56-2.60, 5 Mg 2.62-2.70
Ru  0.6508  0.2500  0.0985  3 Fe 2.56-2.60, 5 Mg 2.62-2.70
Ru  0.8492  0.7500  0.5985  3 Fe 2.56-2.60, 5 Mg 2.62-2.70

Output
- Calculated total energy: -0.2291 hartree per atom
- Density: 6810 kg/m³
- Calculated formation energy: 210 meV/atom
- Crystal system: orthorhombic
- Total magnetization: 3.7 μB per formula unit
- Energy relative to the lowest polymorph listed for this composition: 154 meV/atom


This record from Alexandria via LeMat-Bulk describes an optimized crystal structure of GaSnTe. The functional is GGA-PBE.

Lattice parameters (Å, degrees): 6.5900 6.5900 9.3789 119.08 119.08 27.66
With the nearest neighbours (Å) after each atom.
Positions (direct):
Ga  0.0946  0.0946  0.3182  3 Te 2.83-3.09, 2 Sn 3.01, 2 Ga 3.15
Ga  0.9054  0.9054  0.6818  3 Te 2.83-3.09, 2 Sn 3.01, 2 Ga 3.15
Sn  0.3957  0.3957  0.0432  2 Ga 3.01, 3 Sn 3.15
Sn  0.6043  0.6043  0.9568  2 Ga 3.01, 3 Sn 3.15
Te  0.3300  0.3300  0.3611  3 Ga 2.83-3.09, 2 Te 3.15
Te  0.6700  0.6700  0.6389  3 Ga 2.83-3.09, 2 Te 3.15

Output
- Calculated total energy: -0.1241 hartree per atom
- Density: 6413 kg/m³
- Raw formation energy: 0.014 eV per atom
- Crystal system: monoclinic
- Total magnetization: 0.0 μB per formula unit


This record from Alexandria via LeMat-Bulk describes an optimized crystal structure of ZnCrAg4. The functional is GGA-PBE.

Lattice parameters (Å, degrees): 5.4383 5.4383 5.4383 60.00 60.00 60.00
With the nearest neighbours (Å) after each atom.
Positions (direct):
Zn  0.0000  0.0000  0.0000  12 Ag 3.19, 4 Cr 3.33
Cr  0.2500  0.2500  0.2500  12 Ag 3.19, 4 Zn 3.33
Ag  0.1251  0.6250  0.6250  6 Ag 2.72
Ag  0.6250  0.1251  0.6250  6 Ag 2.72
Ag  0.6250  0.6250  0.1251  6 Ag 2.72
Ag  0.6250  0.6250  0.6250  6 Ag 2.72

Output
- Calculated total energy: -0.1228 hartree per atom
- Density: 8014 kg/m³
- Calculated formation energy: 376 meV/atom
- Crystal system: cubic
- Total magnetization: 4.4 μB per formula unit